a:
BaMgS2N: optimized geometry, PBE.

- Volume: 111.3 Å³ per cell

extended XYZ file:
```
5
Lattice="5.0690 0.0000 0.0000 0.0000 5.0690 0.0000 0.0000 0.0000 4.3309" Properties=species:S:1:pos:R:3 pbc="T T T"
Ba 0.0000 0.0000 0.0000
Mg 2.5345 2.5345 2.1655
S 0.0000 2.5345 2.1655
S 2.5345 0.0000 2.1655
N 2.5345 2.5345 0.0000
```

***

b:
BaMgS2N: optimized geometry, PBE.

- Volume: 156.6 Å³ per cell

extended XYZ file:
```
5
Lattice="5.7730 0.0000 0.0000 0.0000 5.7730 0.0000 0.0000 0.0000 4.6998" Properties=species:S:1:pos:R:3 pbc="T T T"
Ba 0.0000 0.0000 0.0000
Mg 2.8865 2.8865 2.3499
S 0.0000 2.8865 0.0000
S 2.8865 0.0000 0.0000
N 0.0000 0.0000 2.3499
```

***

Tell me which of them is the least stable. Sure, it is b.

***

a:
BaMgSe2N: optimized geometry, PBE.

- Volume: 188.8 Å³ per cell

extended XYZ file:
```
5
Lattice="6.0860 0.0000 0.0000 0.0000 6.0860 0.0000 0.0000 0.0000 5.0966" Properties=species:S:1:pos:R:3 pbc="T T T"
Ba 0.0000 0.0000 0.0000
Mg 3.0430 3.0430 2.5483
Se 0.0000 3.0430 0.0000
Se 3.0430 0.0000 0.0000
N 0.0000 0.0000 2.5483
```

***

b:
BaMgSe2N: optimized geometry, PBE.

- Volume: 123.9 Å³ per cell

extended XYZ file:
```
5
Lattice="5.3558 0.0000 0.0000 0.0000 5.3558 0.0000 0.0000 0.0000 4.3206" Properties=species:S:1:pos:R:3 pbc="T T T"
Ba 0.0000 0.0000 0.0000
Mg 2.6779 2.6779 2.1603
Se 0.0000 2.6779 2.1603
Se 2.6779 0.0000 2.1603
N 2.6779 2.6779 0.0000
```

***

Tell me which of them is the least stable. Sure, it is a.

***

a:
BaMgTeN2: optimized geometry, PBE.

- Volume: 124.0 Å³ per cell

extended XYZ file:
```
5
Lattice="4.6707 0.0000 0.0000 0.0000 4.6707 0.0000 0.0000 0.0000 5.6829" Properties=species:S:1:pos:R:3 pbc="T T T"
Ba 0.0000 0.0000 0.0000
Mg 2.3353 2.3353 2.8415
Te 2.3353 2.3353 0.0000
N 0.0000 2.3353 2.8415
N 2.3353 0.0000 2.8415
```

***

b:
BaMgTeN2: optimized geometry, PBE.

- Volume: 153.7 Å³ per cell

extended XYZ file:
```
5
Lattice="4.6081 0.0000 0.0000 0.0000 4.6081 0.0000 0.0000 0.0000 7.2369" Properties=species:S:1:pos:R:3 pbc="T T T"
Ba 0.0000 0.0000 0.0000
Mg 2.3041 2.3041 3.6184
Te 0.0000 0.0000 3.6184
N 0.0000 2.3041 0.0000
N 2.3041 0.0000 0.0000
```

***

Tell me which of them is the least stable. Sure, it is b.

***

a:
Ba3NaMg: optimized geometry, PBE.

- Volume: 746.9 Å³ per cell

extended XYZ file:
```
15
Lattice="9.0731 0.0000 0.0000 0.0000 9.0731 0.0000 0.0000 0.0000 9.0731" Properties=species:S:1:pos:R:3 pbc="T T T"
Ba 0.0000 0.0000 0.0000
Ba 2.4623 2.4623 2.4623
Ba 2.4623 2.4623 6.6108
Ba 2.4623 6.6108 2.4623
Ba 2.4623 6.6108 6.6108
Ba 6.6108 2.4623 2.4623
Ba 6.6108 2.4623 6.6108
Ba 6.6108 6.6108 2.4623
Ba 6.6108 6.6108 6.6108
Na 0.0000 0.0000 4.5366
Na 0.0000 4.5366 0.0000
Na 4.5366 0.0000 0.0000
Mg 0.0000 4.5366 4.5366
Mg 4.5366 0.0000 4.5366
Mg 4.5366 4.5366 0.0000
```

***

b:
Ba3NaMg: optimized geometry, PBE.

- Volume: 498.8 Å³ per cell

extended XYZ file:
```
10
Lattice="6.3328 0.0000 0.0000 0.0218 6.3570 0.0000 3.1607 0.0015 12.3913" Properties=species:S:1:pos:R:3 pbc="T T T"
Ba 0.0000 0.0000 0.0000
Ba 3.1745 3.1796 9.0797
Ba 3.1791 3.1757 4.5467
Ba 3.1814 3.1771 0.0287
Ba 6.3491 6.3570 9.0507
Ba 6.3545 6.3542 4.5298
Na 3.1853 6.3540 2.2588
Na 6.3429 3.1765 6.8145
Mg 3.1854 6.3571 6.8532
Mg 6.3594 3.1797 2.2191
```

***

Tell me which of them is the least stable. Sure, it is a.